No. 1
Density functional theory data (PBE) for Dy2HoTmSe5 after structural relaxation.

```
9
Lattice="-1.3098 4.7898 1.1202 -4.7123 -1.5544 1.1364 2.9517 -1.5572 10.1095" Properties=species:S:1:pos:R:3 pbc="T T T"
Se -0.8803 -1.5558 5.6229
Se -3.0110 1.6177 1.1283
Se 0.7292 -0.3847 2.4976
Se 0.8210 1.6163 5.6148
Se 2.2225 -1.1725 7.6119
Ho 0.0000 0.0000 0.0000
Dy -1.0549 0.5857 7.8280
Dy -2.0154 1.0925 4.5381
Tm 1.4759 -0.7786 5.0547
```

Output
The density of states at the Fermi level is 5.439 states/eV/f.u. For the uncorrected formation energy, the calculation gives -980 kJ/mol of formula units. As for the space group: P4/mmm, No. 123.

=====

No. 2
Density functional theory data (PBE) for Dy2HoTm3Se6 after structural relaxation.

```
12
Lattice="4.0289 0.0000 0.0000 0.0000 8.1159 0.2473 -2.0145 -2.3843 8.4924" Properties=species:S:1:pos:R:3 pbc="T T T"
Se 2.0145 -0.3334 8.5326
Se 0.0000 5.8833 5.8794
Se 2.0145 -0.1518 2.8603
Se 0.0000 6.0649 0.2071
Se 0.0000 1.7587 5.7903
Se 2.0145 3.9729 2.9494
Tm 2.0145 4.0579 0.1237
Tm 0.0000 5.9635 3.0460
Tm 2.0145 -0.2320 5.6938
Dy 0.0000 1.9141 2.9225
Dy 2.0145 3.8174 5.8173
Ho 2.0145 0.0000 0.0000
```

Output
The density of states at the Fermi level is 5.453 states/eV/f.u. For the uncorrected formation energy, the calculation gives -1968 kJ/mol of formula units. As for the space group: C2/m, No. 12.

=====

No. 3
Density functional theory data (PBE) for Dy3HoTm3Se8 after structural relaxation.

```
15
Lattice="-6.3868 0.0692 -4.9195 -0.4400 -3.7483 7.1246 0.3212 8.0569 -0.3037" Properties=species:S:1:pos:R:3 pbc="T T T"
Se -1.7459 0.1865 2.2692
Se -4.9010 0.2198 -0.2401
Se -1.8173 2.3295 5.6229
Se -1.5647 2.0145 -1.3155
Se -4.9408 2.3634 3.2170
Se -1.6045 4.1580 2.1416
Se -4.6882 2.0483 -3.7214
Se -4.7596 4.1913 -0.3678
Tm -3.2528 2.1889 0.9507
Tm -3.0328 4.0631 -2.6116
Tm -0.0594 2.1543 3.4104
Ho 0.1606 4.0285 -0.1518
Dy -3.4134 -1.8395 1.1025
Dy -0.2200 -1.8742 3.5623
Dy 0.0000 0.0000 0.0000
```

Output
The density of states at the Fermi level is 5.955 states/eV/f.u. For the uncorrected formation energy, the calculation gives -2612 kJ/mol of formula units. As for the space group: R-3m, No. 166.

=====

No. 4
Density functional theory data (PBE) for DyHo2TmSe4 after structural relaxation.

```
8
Lattice="4.0010 0.0000 0.0000 0.0000 7.0212 -0.1693 0.0000 2.4441 6.6293" Properties=species:S:1:pos:R:3 pbc="T T T"
Se 4.0010 2.3731 1.6323
Se 2.0005 3.5949 4.9074
Se 0.0001 7.0922 4.8277
Se 2.0005 5.8705 1.5526
Tm 0.0000 4.7326 3.2300
Ho 2.0005 1.2221 3.3146
Ho 0.0000 2.4442 6.6293
Dy 2.0005 5.9548 6.5447
```

Output
The density of states at the Fermi level is 4.545 states/eV/f.u. For the uncorrected formation energy, the calculation gives -1320 kJ/mol of formula units. As for the space group: P2/m, No. 10.